Entry 1:
PaTiCo | GGA-PBE | optimized geometry

Structure (CIF):
```
data_PaTiCo
_chemical_formula_sum 'Pa2 Ti2 Co2'
_cell_length_a 5.159
_cell_length_b 5.159
_cell_length_c 5.159
_cell_angle_alpha 98.38
_cell_angle_beta 113.61
_cell_angle_gamma 116.98
_symmetry_space_group_name_H-M 'P 1'
_symmetry_Int_Tables_number 1
loop_
_symmetry_equiv_pos_as_xyz
'x,y,z'
loop_
_atom_site_label
_atom_site_fract_x
_atom_site_fract_y
_atom_site_fract_z
_atom_site_occupancy
Co1 0.000 0.500 0.000 1
Co2 0.500 0.000 0.000 1
Ti1 0.000 0.500 0.500 1
Ti2 0.500 0.500 0.000 1
Pa1 0.750 0.898 0.648 1
Pa2 0.250 0.102 0.352 1
```

Computed properties:
**Relative energy among the computed polymorphs**: 0 meV per atom
**DFT formation energy**: -0.2067 eV per atom
**Crystal system**: orthorhombic
**M_tot**: 0.00 μB per cell
**Symmetry**: No. 74

Entry 2:
Sm2US4 | GGA-PBE | optimized geometry

Structure (CIF):
```
data_Sm2US4
_chemical_formula_sum 'Sm4 U2 S8'
_cell_length_a 3.888
_cell_length_b 6.920
_cell_length_c 13.113
_cell_angle_alpha 90.00
_cell_angle_beta 90.00
_cell_angle_gamma 106.32
_symmetry_space_group_name_H-M 'P 1'
_symmetry_Int_Tables_number 1
loop_
_symmetry_equiv_pos_as_xyz
'x,y,z'
loop_
_atom_site_label
_atom_site_fract_x
_atom_site_fract_y
_atom_site_fract_z
_atom_site_occupancy
S1 0.225 0.450 0.627 1
S2 0.025 0.050 0.250 1
S3 0.775 0.550 0.373 1
S4 0.500 0.000 0.500 1
S5 0.775 0.550 0.127 1
S6 0.500 0.000 0.000 1
S7 0.975 0.950 0.750 1
S8 0.225 0.450 0.873 1
Sm1 0.133 0.266 0.431 1
Sm2 0.133 0.266 0.069 1
Sm3 0.867 0.734 0.931 1
Sm4 0.867 0.734 0.569 1
U1 0.622 0.245 0.750 1
U2 0.378 0.755 0.250 1
```

Computed properties:
**Crystal system**: orthorhombic
**Raw formation energy**: -1763 meV per atom
**M_tot**: 6.25 μB per cell
**Symmetry**: No. 63

Entry 3:
B2RuPb | GGA-PBE | optimized geometry

Structure (CIF):
```
data_B2RuPb
_chemical_formula_sum 'B4 Ru2 Pb2'
_cell_length_a 4.530
_cell_length_b 4.530
_cell_length_c 7.380
_cell_angle_alpha 72.13
_cell_angle_beta 72.13
_cell_angle_gamma 90.00
_symmetry_space_group_name_H-M 'P 1'
_symmetry_Int_Tables_number 1
loop_
_symmetry_equiv_pos_as_xyz
'x,y,z'
loop_
_atom_site_label
_atom_site_fract_x
_atom_site_fract_y
_atom_site_fract_z
_atom_site_occupancy
B1 0.375 0.125 0.250 1
B2 0.875 0.625 0.750 1
B3 0.375 0.625 0.750 1
B4 0.375 0.625 0.250 1
Ru1 0.500 0.500 0.000 1
Ru2 0.250 0.750 0.500 1
Pb1 0.000 0.000 0.000 1
Pb2 0.750 0.250 0.500 1
```

Computed properties:
**DFT formation energy**: 0.6062 eV per atom
**Crystal system**: tetragonal
**M_tot**: 0.00 μB per cell
**Symmetry**: No. 141

Entry 4:
ErZrMn | GGA-PBE | optimized geometry

Structure (CIF):
```
data_ErZrMn
_chemical_formula_sum 'Er1 Zr1 Mn1'
_cell_length_a 3.247
_cell_length_b 3.247
_cell_length_c 6.459
_cell_angle_alpha 104.56
_cell_angle_beta 104.56
_cell_angle_gamma 90.00
_symmetry_space_group_name_H-M 'P 1'
_symmetry_Int_Tables_number 1
loop_
_symmetry_equiv_pos_as_xyz
'x,y,z'
loop_
_atom_site_label
_atom_site_fract_x
_atom_site_fract_y
_atom_site_fract_z
_atom_site_occupancy
Zr1 0.291 0.291 0.581 1
Er1 0.032 0.032 0.063 1
Mn1 0.678 0.678 0.356 1
```

Computed properties:
**Relative energy among the computed polymorphs**: 0 meV per atom
**DFT formation energy**: 0.0984 eV per atom
**Crystal system**: tetragonal
**M_tot**: 0.00 μB per cell
**Symmetry**: No. 107

The evaluated E_tot for the records listed, in turn: -8.37, -7.08, -5.98, -7.33 eV per atom.